No. 1
{"formula": "MgHPd3", "functional": "GGA-PBE", "state": "relaxed", "lattice": [[5.291, 0.000, 0.000], [0.000, 5.291, 0.000], [2.646, 2.646, 5.123]], "species": ["H", "H", "Mg", "Mg", "Pd", "Pd", "Pd", "Pd", "Pd", "Pd"], "fractional_positions": [[0.000, 0.000, 0.000], [0.250, 0.750, 0.500], [0.597, 0.097, 0.805], [0.903, 0.403, 0.195], [0.624, 0.872, 0.255], [0.128, 0.376, 0.745], [0.128, 0.879, 0.745], [0.121, 0.872, 0.255], [0.369, 0.369, 0.263], [0.631, 0.631, 0.737]], "e_above_lowest_polymorph_kj_per_mol_atoms": 25.5, "vol_a3_per_fu": 71.7, "sg": "No. 119", "total_energy_ev_per_atom": -4.307}

***

No. 2
{"formula": "RbDy2Te4Au", "functional": "GGA-PBE", "state": "relaxed", "lattice": [[4.445, 0.000, 0.000], [-2.222, 7.681, 0.000], [0.000, 0.000, 15.771]], "species": ["Rb", "Rb", "Dy", "Dy", "Dy", "Dy", "Te", "Te", "Te", "Te", "Te", "Te", "Te", "Te", "Au", "Au"], "fractional_positions": [[0.128, 0.256, 0.750], [0.872, 0.744, 0.250], [0.371, 0.742, 0.571], [0.629, 0.258, 0.071], [0.629, 0.258, 0.429], [0.371, 0.742, 0.929], [0.262, 0.524, 0.103], [0.738, 0.476, 0.603], [0.738, 0.476, 0.897], [0.262, 0.524, 0.397], [0.000, 0.000, 0.500], [0.000, 0.000, 0.000], [0.449, 0.899, 0.750], [0.551, 0.101, 0.250], [0.842, 0.684, 0.750], [0.158, 0.316, 0.250]], "formation_energy_uncorrected_mev_per_atom": -1115, "vol_a3_per_fu": 269.2, "sg": "No. 63", "total_energy_ev_per_atom": -4.367}

***

No. 3
{"formula": "Tl2RePbO6", "functional": "GGA-PBE", "state": "relaxed", "lattice": [[-0.887, 5.002, 3.645], [-5.457, 1.312, -3.129], [-0.101, -3.795, 5.184]], "species": ["Tl", "Tl", "Re", "Pb", "O", "O", "O", "O", "O", "O"], "fractional_positions": [[0.004, 0.333, 0.667], [0.996, 0.667, 0.333], [0.000, 0.000, 0.000], [0.500, 0.000, 0.000], [0.816, 0.138, 0.275], [0.816, 0.138, 0.862], [0.816, 0.725, 0.862], [0.184, 0.862, 0.138], [0.184, 0.275, 0.138], [0.184, 0.862, 0.725]], "formation_energy_uncorrected_mev_per_atom": -1042, "vol_a3_per_fu": 223.6, "sg": "No. 164", "total_energy_ev_per_atom": -6.106}

***

No. 4
{"formula": "LiRuNF2", "functional": "GGA-PBE", "state": "relaxed", "lattice": [[4.248, 0.000, 0.000], [0.000, 4.248, 0.000], [0.000, 0.000, 3.716]], "species": ["Ru", "N", "Li", "F", "F"], "fractional_positions": [[0.000, 0.000, 0.000], [0.000, 0.000, 0.500], [0.500, 0.500, 0.500], [0.000, 0.500, 0.000], [0.500, 0.000, 0.000]], "e_above_lowest_polymorph_kj_per_mol_atoms": 0.0, "formation_energy_uncorrected_mev_per_atom": -911, "vol_a3_per_fu": 67.1, "sg": "No. 123", "total_energy_ev_per_atom": -5.563}